Record 1
Here is a relaxed structure of LiMg2Cl from Alexandria via LeMat-Bulk. Energies are from GGA-PBEsol.

As for the distance to the lowest polymorph of the same formula: 175 meV/atom. The calculation puts the calculated density at 1.6 g/cm³. The total magnetic moment comes out at 0.00 μB per cell. The value obtained for the formation energy (no corrections) is -362 meV per atom.

a b c (Å): 3.959 3.959 6.006
angles (deg): 90.00 90.00 90.00
Space group P4/mmm (No. 123)
One atom of each set of equivalent atoms:
Li (0.000, 0.000, 0.000) [1 per cell]
Mg (0.000, 0.500, 0.500) [2 per cell]
Cl (0.500, 0.500, 0.000) [1 per cell]


Record 2
Here is a relaxed structure of LiMgP2Cl from Alexandria via LeMat-Bulk. Energies are from GGA-PBEsol.

As for the distance to the lowest polymorph of the same formula: 0 meV/atom. The calculation puts the calculated density at 1.8 g/cm³. The total magnetic moment comes out at 1.72 μB per cell. The value obtained for the formation energy (no corrections) is 163 meV per atom.

a b c (Å): 4.844 4.844 5.066
angles (deg): 90.00 90.00 90.00
Space group P4/mmm (No. 123)
One atom of each set of equivalent atoms:
Li (0.000, 0.000, 0.000) [1 per cell]
Mg (0.500, 0.500, 0.500) [1 per cell]
P (0.000, 0.500, 0.500) [2 per cell]
Cl (0.500, 0.500, 0.000) [1 per cell]


Number 1: calculated volume 23.539 A^3/atom. Number 2: calculated volume 23.772 A^3/atom.